Entry 1:
A plane-wave DFT calculation with PBE was carried out for a relaxed structure of NaY2Cd6.

a b c (Å): 8.6819 8.6819 3.3947
angles (deg): 90.00 90.00 120.00
Positions (direct):
Na  0.0000  0.0000  0.0000
Y  0.3333  0.6667  0.0000
Y  0.6667  0.3333  0.0000
Cd  0.0000  0.3329  0.5000
Cd  0.0000  0.6671  0.5000
Cd  0.3329  0.0000  0.5000
Cd  0.3329  0.3329  0.5000
Cd  0.6671  0.0000  0.5000
Cd  0.6671  0.6671  0.5000

Results
**Density**: 6.56 g cm⁻³
**Calculated volume**: 24.63 Å³/atom
**Energy**: -2.4477 eV/atom
**Space-group type**: P6/mmm
**Size of the total moment**: 0.0 μB/cell


Entry 2:
A plane-wave DFT calculation with PBE was carried out for a relaxed structure of NaIn5Ir.

a b c (Å): 4.6623 4.6623 7.6536
angles (deg): 90.00 90.00 90.00
Positions (direct):
Na  0.0000  0.0000  0.0000
In  0.0000  0.5000  0.2998
In  0.0000  0.5000  0.7002
In  0.5000  0.0000  0.2998
In  0.5000  0.0000  0.7002
In  0.5000  0.5000  0.0000
Ir  0.0000  0.0000  0.5000

Results
**Density**: 7.88 g cm⁻³
**Calculated volume**: 23.77 Å³/atom
**Energy**: -3.5439 eV/atom
**Space-group type**: P4/mmm
**Size of the total moment**: 0.0 μB/cell


Entry 3:
A plane-wave DFT calculation with PBE was carried out for a relaxed structure of PmAsRh.

a b c (Å): 5.8553 5.8553 5.8553
angles (deg): 146.77 146.77 47.70
Positions (direct):
Pm  0.0000  0.0000  0.0000
As  0.2957  0.2957  0.0000
Rh  0.6955  0.6955  0.0000

Results
**Density**: 8.93 g cm⁻³
**Distance to the lowest polymorph of the same formula**: 472 meV/atom
**Calculated volume**: 20.01 Å³/atom
**Space-group type**: I4mm
**Size of the total moment**: 0.0 μB/cell


Entry 4:
A plane-wave DFT calculation with PBE was carried out for a relaxed structure of KBa2SiIr.

a b c (Å): 6.3090 6.3090 4.7204
angles (deg): 90.00 90.00 90.00
Positions (direct):
K  0.0000  0.0000  0.0000
Ba  0.0000  0.5000  0.5000
Ba  0.5000  0.0000  0.5000
Si  0.5000  0.5000  0.0000
Ir  0.5000  0.5000  0.5000

Results
**Density**: 4.72 g cm⁻³
**Calculated volume**: 37.58 Å³/atom
**Raw formation energy**: -0.135 eV per atom
**Space-group type**: P4/mmm
**Size of the total moment**: 0.0 μB/cell


Entry 5:
A plane-wave DFT calculation with PBE was carried out for a relaxed structure of Pm12Nd7Tm.

a b c (Å): 8.9085 8.9085 8.9085
angles (deg): 87.15 87.15 87.15
Positions (direct):
Pm  0.0063  0.8849  0.3642
Pm  0.1151  0.6358  0.9937
Pm  0.2272  0.3542  0.7517
Pm  0.2483  0.7728  0.6458
Pm  0.3542  0.7517  0.2272
Pm  0.3642  0.0063  0.8849
Pm  0.6358  0.9937  0.1151
Pm  0.6458  0.2483  0.7728
Pm  0.7517  0.2272  0.3542
Pm  0.7728  0.6458  0.2483
Pm  0.8849  0.3642  0.0063
Pm  0.9937  0.1151  0.6358
Nd  0.0000  0.0000  0.0000
Nd  0.1046  0.4225  0.3495
Nd  0.3495  0.1046  0.4225
Nd  0.4225  0.3495  0.1046
Nd  0.5775  0.6505  0.8954
Nd  0.6505  0.8954  0.5775
Nd  0.8954  0.5775  0.6505
Tm  0.5000  0.5000  0.5000

Results
**Density**: 6.88 g cm⁻³
**Distance to the lowest polymorph of the same formula**: 0 meV/atom
**Calculated volume**: 35.22 Å³/atom
**Space-group type**: R-3
**Size of the total moment**: 0.0 μB/cell


Entry 6:
A plane-wave DFT calculation with PBE was carried out for a relaxed structure of PaAlS4.

a b c (Å): 7.2515 5.9652 7.1057
angles (deg): 90.00 116.54 90.00
Positions (direct):
Pa  0.0000  0.0000  0.0000
Pa  0.0000  0.5000  0.5000
Al  0.5000  0.0000  0.5000
Al  0.5000  0.5000  0.0000
S  0.1953  0.2169  0.3601
S  0.1953  0.2831  0.8601
S  0.3425  0.7307  0.6829
S  0.3425  0.7693  0.1829
S  0.6575  0.2307  0.8171
S  0.6575  0.2693  0.3171
S  0.8047  0.7169  0.1399
S  0.8047  0.7831  0.6399

Results
**Density**: 4.67 g cm⁻³
**Distance to the lowest polymorph of the same formula**: 100 meV/atom
**Calculated volume**: 22.92 Å³/atom
**Raw formation energy**: -1.177 eV per atom
**Space-group type**: P2_1/c
**Size of the total moment**: 0.0 μB/cell


Entry 7:
A plane-wave DFT calculation with PBE was carried out for a relaxed structure of La4Ir2Br.

a b c (Å): 14.7078 14.7078 14.7078
angles (deg): 16.60 16.60 16.60
Positions (direct):
La  0.1243  0.1243  0.1243
La  0.2782  0.2782  0.2782
La  0.7218  0.7218  0.7218
La  0.8757  0.8757  0.8757
Ir  0.4235  0.4235  0.4235
Ir  0.5765  0.5765  0.5765
Br  0.0000  0.0000  0.0000

Results
**Density**: 7.48 g cm⁻³
**Calculated volume**: 32.36 Å³/atom
**Raw formation energy**: -0.969 eV per atom
**Space-group type**: R-3m
**Size of the total moment**: 0.0 μB/cell


Entry 8:
A plane-wave DFT calculation with PBE was carried out for a relaxed structure of Ta8H.

a b c (Å): 5.8207 5.8207 5.1694
angles (deg): 90.00 90.00 120.00
Positions (direct):
Ta  0.1696  0.3393  0.2467
Ta  0.1696  0.8304  0.2467
Ta  0.3333  0.6667  0.7471
Ta  0.3393  0.1696  0.7533
Ta  0.6607  0.8304  0.2467
Ta  0.6667  0.3333  0.2529
Ta  0.8304  0.1696  0.7533
Ta  0.8304  0.6607  0.7533
H  0.0000  0.0000  0.5000

Results
**Density**: 15.86 g cm⁻³
**Calculated volume**: 16.85 Å³/atom
**Energy**: -10.6954 eV/atom
**Space-group type**: P-3m1
**Size of the total moment**: 0.0 μB/cell


Entry 9:
A plane-wave DFT calculation with PBE was carried out for a relaxed structure of Mg4GaSn3.

a b c (Å): 3.6876 3.6876 13.6017
angles (deg): 90.00 90.00 90.00
Positions (direct):
Mg  0.0000  0.0000  0.1121
Mg  0.0000  0.0000  0.3691
Mg  0.0000  0.0000  0.6309
Mg  0.0000  0.0000  0.8879
Ga  0.5000  0.5000  0.0000
Sn  0.5000  0.5000  0.2421
Sn  0.5000  0.5000  0.5000
Sn  0.5000  0.5000  0.7579

Results
**Density**: 4.70 g cm⁻³
**Calculated volume**: 23.12 Å³/atom
**Energy**: -2.7727 eV/atom
**Space-group type**: P4/mmm
**Size of the total moment**: 0.0 μB/cell


Entry 10:
A plane-wave DFT calculation with PBE was carried out for a relaxed structure of SrTbTlGa.

a b c (Å): 5.4411 5.4411 5.4411
angles (deg): 60.00 60.00 60.00
Positions (direct):
Sr  0.0000  0.0000  0.0000
Tb  0.5000  0.5000  0.5000
Tl  0.7500  0.7500  0.7500
Ga  0.2500  0.2500  0.2500

Results
**Density**: 7.59 g cm⁻³
**Calculated volume**: 28.48 Å³/atom
**Energy**: -3.2648 eV/atom
**Space-group type**: F-43m
**Size of the total moment**: 0.0 μB/cell


Entry 11:
A plane-wave DFT calculation with PBE was carried out for a relaxed structure of BaAlGeAu6.

a b c (Å): 8.3255 8.3255 8.3255
angles (deg): 120.97 109.17 99.03
Positions (direct):
Ba  0.4948  0.2448  0.2500
Ba  0.5052  0.7552  0.7500
Al  0.0000  0.0000  0.5000
Al  0.0000  0.5000  0.0000
Ge  0.0000  0.5000  0.5000
Ge  0.5000  0.5000  0.0000
Au  0.1070  0.3448  0.2025
Au  0.1070  0.9045  0.7622
Au  0.1501  0.9001  0.2500
Au  0.1601  0.4101  0.7500
Au  0.3577  0.0955  0.7025
Au  0.3577  0.6552  0.2622
Au  0.6423  0.3448  0.7378
Au  0.6423  0.9045  0.2975
Au  0.8399  0.5899  0.2500
Au  0.8499  0.0999  0.7500
Au  0.8930  0.0955  0.2378
Au  0.8930  0.6552  0.7975

Results
**Density**: 11.01 g cm⁻³
**Calculated volume**: 23.77 Å³/atom
**Energy**: -3.5520 eV/atom
**Space-group type**: Imma
**Size of the total moment**: 0.0 μB/cell


Entry 12:
A plane-wave DFT calculation with PBE was carried out for a relaxed structure of Sc8CoOs2.

a b c (Å): 8.2586 8.2586 6.4134
angles (deg): 108.60 108.60 31.98
Positions (direct):
Sc  0.0246  0.0246  0.2899
Sc  0.2009  0.2009  0.7952
Sc  0.3374  0.3374  0.5487
Sc  0.4014  0.4014  0.0564
Sc  0.5986  0.5986  0.9436
Sc  0.6626  0.6626  0.4513
Sc  0.7991  0.7991  0.2048
Sc  0.9754  0.9754  0.7101
Co  0.5000  0.5000  0.5000
Os  0.1785  0.1785  0.1875
Os  0.8215  0.8215  0.8125

Results
**Density**: 6.07 g cm⁻³
**Calculated volume**: 19.87 Å³/atom
**Energy**: -7.5806 eV/atom
**Space-group type**: C2/m
**Size of the total moment**: 0.0 μB/cell